Entry 1:
## Li2AgRu (PBE)

Data for an optimized crystal structure of Li2AgRu.

Unit cell a=4.9404 b=4.9404 c=4.8644 alpha=83.15 beta=83.15 gamma=30.37
Closest atoms and distances in Å follow each position.
Fractional positions:
Ag 0.2484 0.2484 0.2545  2 Ag 2.59, 7 Li 2.70-2.83, 3 Ru 2.82-2.83
Ru 0.5015 0.5015 0.5022  2 Ru 2.59, 7 Li 2.75-2.81, 3 Ag 2.82-2.83
Li 0.7543 0.7543 0.7392  3 Li 2.59-2.77, 4 Ag 2.70-2.82, 3 Ru 2.80-2.81
Li 0.9958 0.9958 0.0041  3 Li 2.59-2.77, 4 Ru 2.75-2.76, 3 Ag 2.83

Results
Formation energy from the elements, meV/atom: 166
Polymorph energy (0 for the lowest one), meV/atom: 103
DOS at the Fermi energy, states/eV per cell: 2.459
Crystal system: monoclinic
E, eV for the cell shown: -15.29
Space-group type: Cm (8)

Entry 2:
## LiAg2Ru (PBE)

Data for an optimized crystal structure of LiAg2Ru.

Unit cell a=4.4908 b=4.4908 c=4.4908 alpha=60.00 beta=60.00 gamma=60.00
Closest atoms and distances in Å follow each position.
Fractional positions:
Li 0.5000 0.5000 0.5000  4 Ag 2.75, 4 Ru 2.75
Ag 0.7500 0.7500 0.7500  4 Li 2.75, 4 Ag 2.75
Ru 0.2500 0.2500 0.2500  4 Li 2.75, 4 Ag 2.75
Ag 0.0000 0.0000 0.0000  4 Ru 2.75, 4 Ag 2.75

Results
Formation energy from the elements, meV/atom: 430
Polymorph energy (0 for the lowest one), meV/atom: 252
DOS at the Fermi energy, states/eV per cell: 5.301
Crystal system: cubic
E, eV for the cell shown: -15.17
Space-group type: F-43m (216)

Entry 3:
## LiAg2Ru (PBE)

Data for an optimized crystal structure of LiAg2Ru.

Unit cell a=5.5469 b=5.5469 c=5.5469 alpha=151.68 beta=128.31 gamma=59.98
Closest atoms and distances in Å follow each position.
Fractional positions:
Ag 0.7400 0.2400 0.5000  2 Li 2.68, 4 Ag 2.71-2.86, 4 Ru 2.78
Ru 0.2577 0.7577 0.5000  2 Li 2.69, 2 Ru 2.71, 6 Ag 2.78-2.80
Li 0.4998 0.4998 0.0000  6 Ag 2.68-2.77, 2 Ru 2.69, 2 Li 2.71
Ag 0.0025 0.0025 0.0000  4 Ag 2.71-2.86, 4 Li 2.77, 2 Ru 2.80

Results
Formation energy from the elements, meV/atom: 286
Polymorph energy (0 for the lowest one), meV/atom: 108
DOS at the Fermi energy, states/eV per cell: 1.801
Crystal system: orthorhombic
E, eV for the cell shown: -15.75
Space-group type: Imm2 (44)

Entry 4:
## Li2AgRu (PBE)

Data for an optimized crystal structure of Li2AgRu.

Unit cell a=4.4310 b=4.4310 c=4.4310 alpha=60.00 beta=60.00 gamma=60.00
Closest atoms and distances in Å follow each position.
Fractional positions:
Ag 0.5000 0.5000 0.5000  4 Ru 2.71, 4 Li 2.71
Ru 0.7500 0.7500 0.7500  4 Li 2.71, 4 Ag 2.71
Li 0.2500 0.2500 0.2500  4 Li 2.71, 4 Ag 2.71
Li 0.0000 0.0000 0.0000  4 Li 2.71, 4 Ru 2.71

Results
Formation energy from the elements, meV/atom: 348
Polymorph energy (0 for the lowest one), meV/atom: 286
DOS at the Fermi energy, states/eV per cell: 5.259
Crystal system: cubic
E, eV for the cell shown: -14.56
Space-group type: F-43m (216)

Look up the polymorph energy (0 for the lowest one) of the first one. 103 meV/atom

Which value of E does entry 3 give? -15.75 eV for the cell shown